Record 1
The following is a PBE calculation of an optimized crystal structure of RbHgW, from the Alexandria database.

```
RbHgW
1.0
2.8731 0.0000 0.0000
0.0000 2.3417 6.5199
0.0000 -2.3417 6.5199
Rb Hg W
1 1 1
Direct
0.0000 0.0000 0.0000
0.5000 0.2771 0.2771
0.0000 0.7269 0.7269
```

Magnetic moment: 0.129 μB per atom
Formation enthalpy at 0 K: 3.67 eV per formula unit
Space-group type: Amm2 (38)
Offset from the most stable computed form: 504 meV per atom


Record 2
The following is a PBE calculation of an optimized crystal structure of RbHgW, from the Alexandria database.

```
RbHgW
1.0
-2.6036 3.5834 4.3040
2.6036 -3.5834 4.3040
2.6036 3.5834 -4.3040
Rb Hg W
2 2 2
Direct
0.0000 0.0000 0.0000
0.7695 0.2695 0.5000
0.3841 0.6312 0.7528
0.8784 0.6312 0.2472
0.3818 0.1057 0.7239
0.3818 0.6579 0.2761
```

Magnetic moment: 0.000 μB per atom
Formation enthalpy at 0 K: 2.90 eV per formula unit
Space-group type: Imm2 (44)
Offset from the most stable computed form: 247 meV per atom


Record 3
The following is a PBE calculation of an optimized crystal structure of RbHgW, from the Alexandria database.

```
RbHgW
1.0
-2.4150 3.9057 4.6403
2.4150 -3.9057 4.6403
2.4150 3.9057 -4.6403
Rb Hg W
2 2 2
Direct
0.3708 0.1208 0.2500
0.6292 0.8792 0.7500
0.0000 0.5000 0.5000
0.5000 0.5000 0.0000
0.0348 0.2848 0.7500
0.9652 0.7152 0.2500
```

Magnetic moment: 0.000 μB per atom
Formation enthalpy at 0 K: 2.81 eV per formula unit
Space-group type: Imma (74)
Offset from the most stable computed form: 219 meV per atom


Record 4
The following is a PBE calculation of an optimized crystal structure of RbHgW, from the Alexandria database.

```
RbHgW
1.0
3.1193 0.0000 0.0000
1.2843 6.0707 0.0000
0.6478 3.0290 8.9143
Rb Hg W
2 2 2
Direct
0.0054 0.1868 0.1266
0.9946 0.8132 0.8734
0.4995 0.4068 0.6867
0.5005 0.5932 0.3133
0.1928 0.1556 0.5000
0.8072 0.8444 0.5000
```

Magnetic moment: 0.000 μB per atom
Formation enthalpy at 0 K: 2.16 eV per formula unit
Space-group type: P-1 (2)
Offset from the most stable computed form: 0 meV per atom


Record 5
The following is a PBE calculation of an optimized crystal structure of RbHg2W, from the Alexandria database.

```
RbHg2W
1.0
0.0000 3.7592 3.7592
3.7592 0.0000 3.7592
3.7592 3.7592 0.0000
Rb Hg W
1 2 1
Direct
0.0000 0.0000 0.0000
0.2500 0.2500 0.2500
0.7500 0.7500 0.7500
0.5000 0.5000 0.5000
```

Magnetic moment: 0.792 μB per atom
Formation enthalpy at 0 K: 4.86 eV per formula unit
Space-group type: Fm-3m (225)
Offset from the most stable computed form: 104 meV per atom


Record 6
The following is a PBE calculation of an optimized crystal structure of Rb3HgW, from the Alexandria database.

```
Rb3HgW
1.0
7.1457 0.0000 0.0000
0.0000 7.1457 0.0000
0.0000 0.0000 7.1457
Rb Hg W
3 1 1
Direct
0.0000 0.0000 0.5000
0.0000 0.5000 0.0000
0.5000 0.0000 0.0000
0.5000 0.5000 0.5000
0.0000 0.0000 0.0000
```

Magnetic moment: 1.315 μB per atom
Formation enthalpy at 0 K: 6.41 eV per formula unit
Space-group type: Pm-3m (221)
Offset from the most stable computed form: 0 meV per atom


Record 7
The following is a PBE calculation of an optimized crystal structure of RbHgW, from the Alexandria database.

```
RbHgW
1.0
-2.5577 4.3118 4.0451
2.5577 -4.3118 4.0451
2.5577 4.3118 -4.0451
Rb Hg W
2 2 2
Direct
0.0000 0.0000 0.0000
0.6878 0.1878 0.5000
0.0589 0.7484 0.3104
0.4380 0.7484 0.6896
0.2881 0.4166 0.8715
0.5451 0.4166 0.1285
```

Magnetic moment: 0.000 μB per atom
Formation enthalpy at 0 K: 3.15 eV per formula unit
Space-group type: Imm2 (44)
Offset from the most stable computed form: 331 meV per atom


Record 8
The following is a PBE calculation of an optimized crystal structure of Rb2HgW, from the Alexandria database.

```
Rb2HgW
1.0
-6.3675 6.3675 2.7475
6.3675 -6.3675 2.7475
6.3675 6.3675 -2.7475
Rb Hg W
4 2 2
Direct
0.3750 0.0294 0.1544
0.7794 0.6250 0.6544
0.8750 0.2206 0.8456
0.9706 0.1250 0.3456
0.0000 0.0000 0.0000
0.7500 0.2500 0.5000
0.2500 0.7500 0.5000
0.5000 0.5000 0.0000
```

Magnetic moment: 1.003 μB per atom
Formation enthalpy at 0 K: 5.30 eV per formula unit
Space-group type: I-42d (122)


Record 9
The following is a PBE calculation of an optimized crystal structure of RbHg2W, from the Alexandria database.

```
RbHg2W
1.0
-2.9467 2.9467 9.2258
2.9467 -2.9467 9.2258
2.9467 2.9467 -9.2258
Rb Hg W
2 4 2
Direct
0.0000 0.0000 0.0000
0.7500 0.2500 0.5000
0.3215 0.6250 0.1965
0.3750 0.5715 0.6965
0.4285 0.1250 0.8035
0.8750 0.6785 0.3035
0.2500 0.7500 0.5000
0.5000 0.5000 0.0000
```

Magnetic moment: 0.747 μB per atom
Formation enthalpy at 0 K: 4.45 eV per formula unit
Space-group type: I-42d (122)
Offset from the most stable computed form: 0 meV per atom


Record 10
The following is a PBE calculation of an optimized crystal structure of RbHgW, from the Alexandria database.

```
RbHgW
1.0
3.4063 0.0000 0.0000
1.6825 7.0224 0.0000
1.6955 1.5928 7.8250
Rb Hg W
2 2 2
Direct
0.0793 0.1138 0.2268
0.9207 0.8862 0.7732
0.3805 0.5848 0.1552
0.6195 0.4152 0.8448
0.2795 0.3837 0.5559
0.7205 0.6163 0.4441
```

Magnetic moment: 0.000 μB per atom
Formation enthalpy at 0 K: 2.25 eV per formula unit
Space-group type: P-1 (2)
Offset from the most stable computed form: 31 meV per atom


Record 11
The following is a PBE calculation of an optimized crystal structure of RbYHg2, from the Alexandria database.

```
RbYHg2
1.0
3.8624 0.0000 0.0000
0.0000 3.8624 0.0000
0.0000 0.0000 8.6174
Rb Y Hg
1 1 2
Direct
0.0000 0.0000 0.0000
0.0000 0.0000 0.5000
0.5000 0.5000 0.3082
0.5000 0.5000 0.6918
```

Magnetic moment: 0.000 μB per atom
Formation enthalpy at 0 K: -1.04 eV per formula unit
Space-group type: P4/mmm (123)
Offset from the most stable computed form: 0 meV per atom


Record 12
The following is a PBE calculation of an optimized crystal structure of RbYHg3, from the Alexandria database.

```
RbYHg3
1.0
5.9614 0.0000 0.0000
0.0000 5.9614 0.0000
0.0000 0.0000 5.9614
Rb Y Hg
1 1 3
Direct
0.0000 0.0000 0.0000
0.5000 0.5000 0.5000
0.0000 0.0000 0.5000
0.0000 0.5000 0.0000
0.5000 0.0000 0.0000
```

Magnetic moment: 0.208 μB per atom
Formation enthalpy at 0 K: 3.12 eV per formula unit
Space-group type: Pm-3m (221)
Offset from the most stable computed form: 649 meV per atom